Crystalline ScGaCu3 at its relaxed geometry, computed with PBE.

Output
E_form: -15 meV per atom
Spin magnetization: 0.00 Bohr magnetons per cell
Space-group type: No. 74

Lattice parameters (Å, degrees): 5.2370 6.9518 6.3906 122.95 114.19 90.00
Closest atoms and distances in Å follow each position.
Sites, in units of the cell vectors:
Ga 0.5000 0.0000 0.0000  6 Cu 2.34-2.43
Ga 0.0000 0.5000 0.0000  6 Cu 2.34-2.43
Cu 0.8653 0.8653 0.2306  2 Ga 2.43, 5 Cu 2.52-2.62
Cu 0.6347 0.1347 0.7694  2 Ga 2.43, 5 Cu 2.52-2.62
Cu 0.3653 0.8653 0.2306  2 Ga 2.43, 5 Cu 2.52-2.62
Cu 0.2500 0.7451 0.5000  2 Ga 2.34, 4 Cu 2.54
Cu 0.7500 0.2549 0.5000  2 Ga 2.34, 4 Cu 2.54
Cu 0.1347 0.1347 0.7694  2 Ga 2.43, 5 Cu 2.52-2.62
Sc 0.7500 0.6561 0.5000  7 Cu 2.69-3.00
Sc 0.2500 0.3439 0.5000  7 Cu 2.69-3.00